! PBE-GGA YInPd4, relaxed; values from VASP
&SYSTEM
  ibrav = 0, nat = 6, ntyp = 3
/
ATOMIC_SPECIES
Y 88.91 Y.upf
In 114.82 In.upf
Pd 106.42 Pd.upf
CELL_PARAMETERS angstrom
3.946 0.000 0.000
0.000 3.946 0.000
0.000 0.000 8.031
ATOMIC_POSITIONS crystal
Y 0.000 0.000 0.000
In 0.500 0.500 0.500
Pd 0.000 0.500 0.262
Pd 0.000 0.500 0.738
Pd 0.500 0.000 0.262
Pd 0.500 0.000 0.738
! - ΔE_f (eV/atom) = -0.456
! - density of states at the Fermi level (states/eV/f.u.) = 2.2
! - crystal system = tetragonal